Record 1
Computed, not measured: an optimized crystal structure of Cs5HAu2 at the PBE-GGA level of DFT.

POSCAR file:
```
Cs5HAu2
1.0
8.122 0.395 0.562
-3.655 7.263 -0.562
-3.655 -3.000 6.639
H Au Cs
1 2 5
Direct
0.000 0.996 0.996 H
0.500 0.253 0.753 Au
0.500 0.753 0.253 Au
0.000 0.756 0.224 Cs
0.000 0.261 0.261 Cs
0.468 0.224 0.224 Cs
0.532 0.756 0.756 Cs
0.000 0.224 0.756 Cs
```

Total moment: 0.01 μB/atom
Energy: -1.855 eV per atom
Symmetry: I4mm

***

Record 2
Computed, not measured: an optimized crystal structure of BeCu2Mo at the PBE-GGA level of DFT.

POSCAR file:
```
BeCu2Mo
1.0
-4.094 0.376 1.890
-2.575 -3.587 -0.987
4.194 0.411 1.648
Mo Cu Be
1 2 1
Direct
0.250 0.750 0.500 Mo
0.500 0.500 0.000 Cu
0.000 0.000 0.000 Cu
0.750 0.250 0.500 Be
```

Total moment: 0.00 μB/atom
Formation energy: 275 meV per atom
Symmetry: I4/mmm

***

Record 3
Computed, not measured: an optimized crystal structure of AlNiSb3 at the PBE-GGA level of DFT.

POSCAR file:
```
AlNiSb3
1.0
-0.038 -4.438 2.309
-2.087 -2.085 -4.041
4.547 -0.994 -1.835
Ni Sb Al
1 3 1
Direct
0.000 0.000 0.000 Ni
0.000 0.000 0.500 Sb
0.500 0.000 0.000 Sb
0.000 0.500 0.000 Sb
0.500 0.500 0.500 Al
```

Total moment: 0.00 μB/atom
Symmetry: Pm-3m
E_form (uncorrected): 9.5 kcal/mol of atoms